Entry from Alexandria: Ta2TlNiN after structural relaxation (PBE).

a b c (Å): 4.5718 4.7420 4.5718
angles (deg): 90.00 90.00 90.00
Closest atoms and distances in Å follow each position.
Element x y z (fractional)
Ni1 0.0000 0.0000 0.0000  4 Ta 2.29, 2 Tl 2.37
Tl1 0.0000 0.5000 0.0000  2 Ni 2.37
N1 0.5000 0.5000 0.5000  4 Tl 3.23, 8 Ta 3.29
Ta1 0.0000 0.0000 0.5000  2 Ni 2.29
Ta2 0.5000 0.0000 0.0000  2 Ni 2.29

Computed properties:
- SG = P4/mmm
- energy (eV/f.u.) = -30.89
- crystal system = tetragonal
- energy relative to the elements, uncorrected (eV/atom) = 1.86